This record from Alexandria via LeMat-Bulk describes crystalline KMg3Nb at its relaxed geometry. The functional is PBE.

Properties
**Uncorrected energy**: -2.408 eV per atom
**Offset from the most stable computed form**: 0.0 meV/atom
**Formation enthalpy at 0 K**: 0.78 eV/atom

extended XYZ file:
```
5
Lattice="5.635 0.000 0.000 0.000 5.635 0.000 0.000 0.000 5.635" Properties=species:S:1:pos:R:3 pbc="T T T"
K 2.818 2.818 2.818
Mg 2.818 0.000 0.000
Mg 0.000 0.000 2.818
Nb 0.000 0.000 0.000
Mg 0.000 2.818 0.000
```


This record from Alexandria via LeMat-Bulk describes crystalline Tl3RuF8 at its relaxed geometry. The functional is PBE.

Properties
**Uncorrected energy**: -4.415 eV per atom
**Formation energy (no corrections)**: -1.8032 eV/atom

extended XYZ file:
```
24
Lattice="-2.283 4.136 5.984 -6.078 3.167 -4.508 -1.232 -6.884 4.288" Properties=species:S:1:pos:R:3 pbc="T T T"
F -4.835 0.492 -0.599
F -6.837 4.261 2.228
Tl -2.894 1.121 4.689
F -2.183 3.955 5.722
Tl -3.542 -2.499 6.944
F -2.990 -3.419 4.147
F -7.143 1.907 1.010
Tl -5.714 2.308 -2.064
F -5.110 0.848 2.518
F -1.042 1.887 2.730
F -4.698 3.151 1.083
F -5.041 -2.350 2.625
F -2.574 -1.096 2.700
F -1.401 -3.389 2.004
Tl -6.738 -0.833 4.573
F -7.253 1.937 3.675
F -3.846 -4.632 1.931
Ru -3.215 -2.867 2.320
Ru -5.972 2.551 2.380
F -4.786 3.192 3.749
Tl -2.518 0.642 0.307
F -4.362 -0.791 5.325
Tl -6.362 -1.313 0.191
F -3.434 -2.329 0.496
```